Computed, not measured: a relaxed structure of SiTc2Sb at the PBE level of DFT.

The calculation puts the magnetic moment at 0.00 μB per formula unit. The excess energy over the best structure of this formula in the dataset is 490.1 meV/atom. The theoretical density comes out at 7.8 g/cm³. As for the crystal system: tetragonal. The formation energy from raw total energies is 1.6 eV/f.u.

It has space group I-42d (No. 122), with a = 4.1231 Å, b = 4.1231 Å, c = 17.2510 Å, α = 90.00°, β = 90.00° and γ = 90.00°. The inequivalent atoms are Si at (0.0000, 0.0000, 0.0000), Tc at (0.1758, 0.2500, 0.1250) and Sb at (0.0000, 0.0000, 0.5000).